1.
Entry from Alexandria: a relaxed structure of Ba3CeSm3Te8 (PBE).

Values from the calculation:
formation energy without anion corrections = -149 kJ per mole of atoms
final energy = -0.3633 Ry per atom

a = 9.5940 Å, b = 9.5940 Å, c = 9.5940 Å
α = 57.02°, β = 57.02°, γ = 57.02°
Sites, in units of the cell vectors:
1 Ba 0.0000 0.5000 0.5000
2 Ba 0.5000 0.0000 0.5000
3 Ba 0.5000 0.5000 0.0000
4 Ce 0.5000 0.5000 0.5000
5 Sm 0.0000 0.0000 0.5000
6 Sm 0.0000 0.5000 0.0000
7 Sm 0.5000 0.0000 0.0000
8 Te 0.2335 0.7446 0.7446
9 Te 0.2406 0.2406 0.2406
10 Te 0.2554 0.2554 0.7665
11 Te 0.2554 0.7665 0.2554
12 Te 0.7446 0.2335 0.7446
13 Te 0.7446 0.7446 0.2335
14 Te 0.7594 0.7594 0.7594
15 Te 0.7665 0.2554 0.2554

---

2.
Entry from Alexandria: a relaxed structure of PmScRhPb (PBE).

Values from the calculation:
final energy = -0.4401 Ry per atom

a = 5.0858 Å, b = 5.0858 Å, c = 5.0858 Å
α = 60.00°, β = 60.00°, γ = 60.00°
Sites, in units of the cell vectors:
1 Pm 0.0000 0.0000 0.0000
2 Sc 0.5000 0.5000 0.5000
3 Rh 0.2500 0.2500 0.2500
4 Pb 0.7500 0.7500 0.7500

---

3.
Entry from Alexandria: a relaxed structure of VNiAgSb2 (PBE).

Values from the calculation:
formation energy without anion corrections = 92 kJ per mole of atoms
final energy = -0.3120 Ry per atom

a = 5.0032 Å, b = 5.0032 Å, c = 5.0813 Å
α = 90.00°, β = 90.00°, γ = 90.00°
Sites, in units of the cell vectors:
1 V 0.0000 0.0000 0.0000
2 Ni 0.5000 0.5000 0.5000
3 Ag 0.0000 0.0000 0.5000
4 Sb 0.0000 0.5000 0.0000
5 Sb 0.5000 0.0000 0.0000